No. 1
# MnGa2BPb | Alexandria | PBE-GGA | optimized geometry
data_MnGa2BPb
_space_group_name_H-M_alt 'P 4/m m m'
_space_group_IT_number 123
_space_group_name_Hall '-P 4 2'
_cell_length_a 4.182
_cell_length_b 4.182
_cell_length_c 5.658
_cell_angle_alpha 90.00
_cell_angle_beta 90.00
_cell_angle_gamma 90.00
loop_
_atom_site_label
_atom_site_type_symbol
_atom_site_fract_x
_atom_site_fract_y
_atom_site_fract_z
Mn1 Mn 0.000 0.000 0.000
Ga1 Ga 0.000 0.500 0.500
B1 B 0.500 0.500 0.500
Pb1 Pb 0.500 0.500 0.000
# * ΔE_f: 685 meV/atom
# * crystal system: tetragonal
# * total magnetization: 4.09 Bohr magnetons per cell
# * calculated volume: 99 Å³/cell
# * electronic total energy: -4.44 eV/atom


No. 2
# Zn2Cl5O2 | Alexandria | PBE-GGA | optimized geometry
data_Zn2Cl5O2
_space_group_name_H-M_alt 'P 1'
_space_group_IT_number 1
_cell_length_a 6.780
_cell_length_b 6.805
_cell_length_c 12.431
_cell_angle_alpha 104.90
_cell_angle_beta 104.36
_cell_angle_gamma 93.17
loop_
_space_group_symop_operation_xyz
'x,y,z'
loop_
_atom_site_label
_atom_site_type_symbol
_atom_site_fract_x
_atom_site_fract_y
_atom_site_fract_z
Zn1 Zn 0.000 0.000 0.000
Zn2 Zn 0.086 0.546 0.159
Zn3 Zn 0.270 0.731 0.503
Zn4 Zn 0.813 0.816 0.662
Cl1 Cl 0.030 0.785 0.829
Cl2 Cl 0.165 0.874 0.150
Cl3 Cl 0.183 0.308 0.020
Cl4 Cl 0.301 0.524 0.331
Cl5 Cl 0.370 0.069 0.524
Cl6 Cl 0.503 0.636 0.642
Cl7 Cl 0.678 0.060 0.010
Cl8 Cl 0.751 0.140 0.657
Cl9 Cl 0.751 0.451 0.144
Cl10 Cl 0.937 0.660 0.508
O1 O 0.347 0.334 0.797
O2 O 0.498 0.451 0.864
O3 O 0.676 0.083 0.326
O4 O 0.864 0.084 0.352
# * crystal system: triclinic
# * total magnetization: 5.94 Bohr magnetons per cell
# * formation energy without anion corrections: -669 meV/atom
# * calculated volume: 533 Å³/cell
# * electronic total energy: -3.08 eV/atom


No. 3
# Sc2TaAg | Alexandria | PBE-GGA | optimized geometry
data_Sc2TaAg
_space_group_name_H-M_alt 'C 1 2/m 1'
_space_group_IT_number 12
_cell_length_a 10.115
_cell_length_b 3.059
_cell_length_c 5.437
_cell_angle_alpha 90.00
_cell_angle_beta 105.72
_cell_angle_gamma 90.00
loop_
_space_group_symop_operation_xyz
'x,y,z'
'-x,-y,-z'
'-x,y,-z'
'x,-y,z'
'x+1/2,y+1/2,z'
'-x+1/2,-y+1/2,-z'
'-x+1/2,y+1/2,-z'
'x+1/2,-y+1/2,z'
loop_
_atom_site_label
_atom_site_type_symbol
_atom_site_fract_x
_atom_site_fract_y
_atom_site_fract_z
Sc1 Sc 0.246 0.000 0.256
Ta1 Ta 0.000 0.000 0.500
Ag1 Ag 0.000 0.500 0.000
# * ΔE_f: 189 meV/atom
# * crystal system: monoclinic
# * total magnetization: 0.00 Bohr magnetons per cell
# * calculated volume: 162 Å³/cell
# * electronic total energy: -6.65 eV/atom